(1)
## TlTcSe (SCAN)

Data for a crystal of TlTcSe relaxed with PBEsol.

Properties
* total energy: -42.39 eV/atom
* SG: No. 156
* crystal system: trigonal
* size of the total moment: 0.0 μB per cell

a = 3.2427 Å, b = 3.2427 Å, c = 6.4259 Å
α = 90.00°, β = 90.00°, γ = 120.00°
With the nearest neighbours (Å) after each atom.
Sites, in units of the cell vectors:
Se (0.0000, 0.0000, 0.9410)  3 Tc 2.42
Tc (0.6667, 0.3333, 0.7033)  3 Se 2.42
Tl (0.3333, 0.6667, 0.3557)  3 Tc 2.91, 6 Tl 3.24, 3 Se 3.26

(2)
## TlTcSe2 (SCAN)

Data for a crystal of TlTcSe2 relaxed with PBEsol.

Properties
* total energy: -37.05 eV/atom
* SG: No. 166
* crystal system: trigonal
* size of the total moment: 0.0 μB per cell

a = 3.2027 Å, b = 3.2027 Å, c = 9.4166 Å
α = 80.21°, β = 80.21°, γ = 60.00°
With the nearest neighbours (Å) after each atom.
Sites, in units of the cell vectors:
Se (0.2288, 0.2288, 0.3135)  3 Tc 2.53
Se (0.7712, 0.7712, 0.6865)  3 Tc 2.53
Tc (0.5000, 0.5000, 0.5000)  6 Se 2.53
Tl (0.0000, 0.0000, 0.0000)  6 Tl 3.20, 6 Se 3.43

(3)
## TlTcSe2 (SCAN)

Data for a crystal of TlTcSe2 relaxed with PBEsol.

Properties
* total energy: -36.96 eV/atom
* SG: No. 123
* crystal system: tetragonal
* size of the total moment: 0.0 μB per cell

a = 3.0578 Å, b = 3.0578 Å, c = 8.5275 Å
α = 90.00°, β = 90.00°, γ = 90.00°
With the nearest neighbours (Å) after each atom.
Sites, in units of the cell vectors:
Se (0.0000, 0.0000, 0.8227)  4 Tc 2.64
Se (0.0000, 0.0000, 0.1773)  4 Tc 2.64
Tc (0.5000, 0.5000, 0.0000)  8 Se 2.64
Tl (0.5000, 0.5000, 0.5000)  4 Tl 3.06

(4)
## Tc2WSe (SCAN)

Data for a crystal of Tc2WSe relaxed with PBEsol.

Properties
* total energy: -39.54 eV/atom
* SG: No. 47
* crystal system: orthorhombic
* size of the total moment: 0.0 μB per cell

a = 2.9643 Å, b = 4.3938 Å, c = 4.5085 Å
α = 90.00°, β = 90.00°, γ = 90.00°
With the nearest neighbours (Å) after each atom.
Sites, in units of the cell vectors:
Se (0.0000, 0.5000, 0.5000)  4 Tc 2.65, 4 W 2.70, 2 Se 2.96
Tc (0.0000, 0.0000, 0.0000)  4 W 2.65, 6 Tc 2.70-2.96
Tc (0.5000, 0.0000, 0.5000)  4 Se 2.65, 6 Tc 2.70-2.96
W (0.5000, 0.5000, 0.0000)  4 Tc 2.65, 4 Se 2.70, 2 W 2.96

(5)
## TcW2Se (SCAN)

Data for a crystal of TcW2Se relaxed with PBEsol.

Properties
* total energy: -48.31 eV/atom
* SG: No. 123
* crystal system: tetragonal
* size of the total moment: 0.0 μB per cell

a = 2.9542 Å, b = 2.9542 Å, c = 6.8671 Å
α = 90.00°, β = 90.00°, γ = 90.00°
With the nearest neighbours (Å) after each atom.
Sites, in units of the cell vectors:
Se (0.5000, 0.5000, 0.0000)  8 W 2.69, 4 Se 2.95
Tc (0.5000, 0.5000, 0.5000)  8 W 2.72, 4 Tc 2.95
W (0.0000, 0.0000, 0.7528)  4 Se 2.69, 4 Tc 2.72, 4 W 2.95
W (0.0000, 0.0000, 0.2472)  4 Se 2.69, 4 Tc 2.72, 4 W 2.95

(6)
## Tc2WSe (SCAN)

Data for a crystal of Tc2WSe relaxed with PBEsol.

Properties
* total energy: -39.37 eV/atom
* SG: No. 139
* crystal system: tetragonal
* size of the total moment: 0.0 μB per cell

a = 3.7908 Å, b = 3.7908 Å, c = 4.8719 Å
α = 112.89°, β = 112.89°, γ = 90.00°
With the nearest neighbours (Å) after each atom.
Sites, in units of the cell vectors:
Se (0.0000, 0.0000, 0.0000)  4 W 2.68, 8 Tc 2.78
Tc (0.7500, 0.2500, 0.5000)  4 Tc 2.68, 4 Se 2.78, 4 W 2.78
Tc (0.2500, 0.7500, 0.5000)  4 Tc 2.68, 4 Se 2.78, 4 W 2.78
W (0.5000, 0.5000, 0.0000)  4 Se 2.68, 8 Tc 2.78

(7)
## TcW2Se (SCAN)

Data for a crystal of TcW2Se relaxed with PBEsol.

Properties
* total energy: -48.00 eV/atom
* SG: No. 216
* crystal system: cubic
* size of the total moment: 0.0 μB per cell

a = 4.4311 Å, b = 4.4311 Å, c = 4.4311 Å
α = 60.00°, β = 60.00°, γ = 60.00°
With the nearest neighbours (Å) after each atom.
Sites, in units of the cell vectors:
Se (0.5000, 0.5000, 0.5000)  4 Tc 2.71, 4 W 2.71
Tc (0.2500, 0.2500, 0.2500)  4 Se 2.71, 4 W 2.71
W (0.0000, 0.0000, 0.0000)  4 W 2.71, 4 Tc 2.71
W (0.7500, 0.7500, 0.7500)  4 W 2.71, 4 Se 2.71

(8)
## TcWSe2 (SCAN)

Data for a crystal of TcWSe2 relaxed with PBEsol.

Properties
* total energy: -35.50 eV/atom
* SG: No. 119
* crystal system: tetragonal
* size of the total moment: 0.0 μB per cell

a = 3.9955 Å, b = 3.9955 Å, c = 4.8285 Å
α = 114.44°, β = 114.44°, γ = 90.00°
With the nearest neighbours (Å) after each atom.
Sites, in units of the cell vectors:
Se (0.0000, 0.0000, 0.0000)  4 W 2.80, 4 Se 2.80, 4 Tc 2.83
Se (0.7500, 0.2500, 0.5000)  4 Se 2.80, 4 Tc 2.80, 4 W 2.83
Tc (0.5000, 0.5000, 0.0000)  4 W 2.80, 8 Se 2.80-2.83
W (0.2500, 0.7500, 0.5000)  8 Se 2.80-2.83, 4 Tc 2.80

(9)
## TcWSe2 (SCAN)

Data for a crystal of TcWSe2 relaxed with PBEsol.

Properties
* total energy: -35.33 eV/atom
* SG: No. 65
* crystal system: orthorhombic
* size of the total moment: 0.0 μB per cell

a = 3.0381 Å, b = 3.0692 Å, c = 8.0551 Å
α = 90.00°, β = 90.00°, γ = 119.67°
With the nearest neighbours (Å) after each atom.
Sites, in units of the cell vectors:
Se (0.0000, 0.0000, 0.7450)  2 Tc 2.49, 2 W 2.55
Se (0.0000, 0.0000, 0.2550)  2 Tc 2.49, 2 W 2.55
Tc (0.5000, 0.0000, 0.5000)  4 Se 2.49
W (0.5000, 0.0000, 0.0000)  4 Se 2.55

(10)
## Tc2WSe (SCAN)

Data for a crystal of Tc2WSe relaxed with PBEsol.

Properties
* total energy: -39.52 eV/atom
* SG: No. 65
* crystal system: orthorhombic
* size of the total moment: 0.0 μB per cell

a = 2.7848 Å, b = 2.7848 Å, c = 8.5734 Å
α = 90.00°, β = 90.00°, γ = 112.88°
With the nearest neighbours (Å) after each atom.
Sites, in units of the cell vectors:
Se (0.5000, 0.5000, 0.0000)  4 Tc 2.69, 4 Se 2.78
Tc (0.0000, 0.0000, 0.2578)  2 W 2.58, 2 Se 2.69, 4 Tc 2.78
Tc (0.0000, 0.0000, 0.7422)  2 W 2.58, 2 Se 2.69, 4 Tc 2.78
W (0.5000, 0.5000, 0.5000)  4 Tc 2.58, 4 W 2.78

(11)
## TcWSe (SCAN)

Data for a crystal of TcWSe relaxed with PBEsol.

Properties
* total energy: -41.22 eV/atom
* SG: No. 156
* crystal system: trigonal
* size of the total moment: 0.0 μB per cell

a = 2.8948 Å, b = 2.8948 Å, c = 6.2807 Å
α = 90.00°, β = 90.00°, γ = 120.00°
With the nearest neighbours (Å) after each atom.
Sites, in units of the cell vectors:
Se (0.0000, 0.0000, 0.9953)  3 Tc 2.64, 3 W 2.71, 6 Se 2.89
Tc (0.3333, 0.6667, 0.6692)  3 Se 2.64, 3 W 2.68, 6 Tc 2.89
W (0.6667, 0.3333, 0.3354)  3 Tc 2.68, 3 Se 2.71, 6 W 2.89

(12)
## TcWSe (SCAN)

Data for a crystal of TcWSe relaxed with PBEsol.

Properties
* total energy: -41.04 eV/atom
* SG: No. 216
* crystal system: cubic
* size of the total moment: 0.0 μB per cell

a = 4.1977 Å, b = 4.1977 Å, c = 4.1977 Å
α = 60.00°, β = 60.00°, γ = 60.00°
With the nearest neighbours (Å) after each atom.
Sites, in units of the cell vectors:
Se (0.0000, 0.0000, 0.0000)  4 W 2.57
Tc (0.5000, 0.5000, 0.5000)  4 W 2.57
W (0.2500, 0.2500, 0.2500)  4 Se 2.57, 4 Tc 2.57

(13)
## YTc2Se (SCAN)

Data for a crystal of YTc2Se relaxed with PBEsol.

Properties
* total energy: -29.53 eV/atom
* SG: No. 47
* crystal system: orthorhombic
* size of the total moment: 0.0 μB per cell

a = 3.4682 Å, b = 4.0446 Å, c = 4.9327 Å
α = 90.00°, β = 90.00°, γ = 90.00°
With the nearest neighbours (Å) after each atom.
Sites, in units of the cell vectors:
Se (0.0000, 0.5000, 0.5000)  4 Y 2.66
Tc (0.0000, 0.0000, 0.0000)  4 Tc 2.66
Tc (0.5000, 0.5000, 0.0000)  4 Tc 2.66
Y (0.5000, 0.0000, 0.5000)  4 Se 2.66

(14)
## YTc2Se (SCAN)

Data for a crystal of YTc2Se relaxed with PBEsol.

Properties
* total energy: -29.25 eV/atom
* SG: No. 216
* crystal system: cubic
* size of the total moment: 1.4 μB per cell

a = 4.5854 Å, b = 4.5854 Å, c = 4.5854 Å
α = 60.00°, β = 60.00°, γ = 60.00°
With the nearest neighbours (Å) after each atom.
Sites, in units of the cell vectors:
Se (0.5000, 0.5000, 0.5000)  4 Tc 2.81, 4 Y 2.81
Tc (0.0000, 0.0000, 0.0000)  4 Tc 2.81, 4 Y 2.81
Tc (0.2500, 0.2500, 0.2500)  4 Se 2.81, 4 Tc 2.81
Y (0.7500, 0.7500, 0.7500)  4 Se 2.81, 4 Tc 2.81